Entry from Alexandria: an optimized crystal structure of TlInClO2 (GGA-PBE). Values from VASP.

Output
Energy   -17.2 eV for the cell shown
Formation energy (no corrections)   -0.068 eV per atom
D(E_F)   0.699 states/eV/atom
Space-group type   P4/mmm (123)

Geometry as Quantum ESPRESSO input:
```
&SYSTEM
  ibrav = 0, nat = 5, ntyp = 4
/
ATOMIC_SPECIES
O 16.00 O.upf
In 114.82 In.upf
Tl 204.38 Tl.upf
Cl 35.45 Cl.upf
ATOMIC_POSITIONS angstrom
O 2.097 0.000 0.000
O 0.000 2.097 0.000
In 0.000 0.000 3.267
Tl 0.000 0.000 0.000
Cl 2.097 2.097 3.267
CELL_PARAMETERS angstrom
4.195 0.000 0.000
0.000 4.195 0.000
0.000 0.000 6.534
```